Compound: Pm2Pr3Cd2
Source: Alexandria via LeMat-Bulk
Functional: PBE
Structure: relaxed

raw total energy	-0.28068	Ry/atom
formation energy from the elements	-0.1517	eV per atom
density of states at the Fermi level	1.041	states/eV per atom
space group	C2/m (12)

Unit cell a=5.5896 b=5.5927 c=8.8209 alpha=108.41 beta=90.00 gamma=119.98
Atoms (fractional coordinates):
Pr 0.3418 0.6836 0.5253
Pr 0.5000 0.0000 0.0000
Pr 0.6582 0.3164 0.4747
Cd 0.2106 0.4213 0.1319
Cd 0.7894 0.5787 0.8681
Pm 0.9256 0.8512 0.2764
Pm 0.0744 0.1488 0.7236